1.
A geometry-optimized VBiSb3 structure. Source: the Alexandria database, functional PBE.

a b c (Å): 5.1981 5.1981 5.1981
angles (deg): 90.00 90.00 90.00
Element x y z (fractional)
1 Sb 0.0000 0.0000 0.5000
2 Bi 0.5000 0.5000 0.5000
3 Sb 0.5000 0.0000 0.0000
4 V 0.0000 0.0000 0.0000
5 Sb 0.0000 0.5000 0.0000

Output
SG = Pm-3m
Magnetization = 1.6 μB/cell
Formation energy (no corrections) = 0.321 eV per atom
ΔE to the lowest computed polymorph = 0 meV/atom



2.
A geometry-optimized ReSeCl structure. Source: the Alexandria database, functional PBE.

a b c (Å): 5.5753 5.5753 3.4149
angles (deg): 72.17 72.17 35.67
Element x y z (fractional)
1 Cl 0.9735 0.9735 0.0265
2 Re 0.7220 0.7220 0.2780
3 Se 0.3044 0.3044 0.6956

Output
SG = I4mm
Magnetization = 0.0 μB/cell
Formation energy (no corrections) = 0.710 eV per atom
ΔE to the lowest computed polymorph = 1282 meV/atom



3.
A geometry-optimized Y2BiSe structure. Source: the Alexandria database, functional PBE.

a b c (Å): 4.2794 4.2794 7.4451
angles (deg): 90.03 106.67 119.99
Element x y z (fractional)
1 Se 0.0000 0.0000 0.0000
2 Y 0.4858 0.7431 0.2289
3 Y 0.5143 0.2568 0.7711
4 Bi 0.0000 0.5000 0.5000

Output
SG = R-3m
Magnetization = 0.0 μB/cell
Formation energy (no corrections) = -1.310 eV per atom
ΔE to the lowest computed polymorph = 0 meV/atom



4.
A geometry-optimized Ce4HgRh2 structure. Source: the Alexandria database, functional PBE.

a b c (Å): 7.3360 7.3360 8.1114
angles (deg): 108.22 108.10 108.13
Element x y z (fractional)
1 Hg 0.2491 0.7485 0.5001
2 Ce 0.4882 0.7449 0.8926
3 Rh 0.6358 0.2311 0.1132
4 Ce 0.8527 0.5959 0.1079
5 Hg 0.9941 0.9948 0.0001
6 Ce 0.2729 0.1656 0.7788
7 Ce 0.3869 0.4937 0.2208
8 Ce 0.0032 0.2374 0.3993
9 Rh 0.4815 0.3745 0.6106
10 Ce 0.7499 0.1486 0.7322
11 Rh 0.7633 0.8707 0.3891
12 Rh 0.1178 0.5220 0.8866
13 Ce 0.4158 0.0176 0.2673
14 Ce 0.8386 0.6045 0.6014

Output
SG = P1
ΔE_f = -0.47 eV/atom
Magnetization = 5.2 μB/cell



5.
A geometry-optimized CaFe4B4 structure. Source: the Alexandria database, functional PBE.

a b c (Å): 3.8490 6.9451 6.9451
angles (deg): 90.00 90.00 90.00
Element x y z (fractional)
1 B 0.8878 0.6694 0.1920
2 Fe 0.3822 0.3696 0.8806
3 B 0.3878 0.3080 0.1694
4 B 0.8878 0.3306 0.8080
5 B 0.3878 0.6920 0.8306
6 Fe 0.6178 0.1194 0.3696
7 Fe 0.1178 0.1304 0.6194
8 Fe 0.1178 0.8696 0.3806
9 Fe 0.6178 0.8806 0.6304
10 Fe 0.3822 0.6304 0.1194
11 Fe 0.8822 0.3806 0.1304
12 Ca 0.0000 0.0000 0.0000
13 Ca 0.5000 0.5000 0.5000
14 B 0.6122 0.8306 0.3080
15 Fe 0.8822 0.6194 0.8696
16 B 0.6122 0.1694 0.6920
17 B 0.1122 0.8080 0.6694
18 B 0.1122 0.1920 0.3306

Output
SG = P4_2/n
ΔE_f = -0.36 eV/atom
Magnetization = 5.1 μB/cell



6.
A geometry-optimized PuNp2Ge structure. Source: the Alexandria database, functional PBE.

a b c (Å): 4.4582 4.4268 4.4268
angles (deg): 90.00 90.00 90.00
Element x y z (fractional)
1 Pu 0.5000 0.5000 0.5000
2 Ge 0.5000 0.0000 0.0000
3 Np 0.0000 0.5000 0.0000
4 Np 0.0000 0.0000 0.5000

Output
SG = P4/mmm
ΔE_f = 0.03 eV/atom
Magnetization = 12.9 μB/cell
ΔE to the lowest computed polymorph = 125 meV/atom



7.
A geometry-optimized Ce3SmSn2 structure. Source: the Alexandria database, functional PBE.

a b c (Å): 4.8289 9.7572 8.1623
angles (deg): 116.31 90.00 104.33
Element x y z (fractional)
1 Ce 0.0682 0.1365 0.4769
2 Sn 0.4790 0.9581 0.8036
3 Sn 0.2496 0.4992 0.8432
4 Sm 0.1131 0.2263 0.0468
5 Sm 0.8869 0.7737 0.9532
6 Ce 0.3790 0.7580 0.3081
7 Ce 0.2962 0.5925 0.5114
8 Ce 0.9318 0.8635 0.5231
9 Sn 0.7504 0.5008 0.1568
10 Ce 0.7038 0.4075 0.4886
11 Ce 0.6210 0.2420 0.6919
12 Sn 0.5210 0.0419 0.1964

Output
SG = C2/m
ΔE_f = -0.42 eV/atom
Magnetization = 2.4 μB/cell